The following is a DFT calculation (PBE-GGA) of a relaxed structure of Mg2TlIn.

Total magnetic moment (μB per formula unit): 0.00
Crystal system: orthorhombic
Raw total energy (eV per atom): -2.12
DOS at the Fermi energy (states/eV/atom): 0.56
Energy of formation from the pure elements (eV/atom): -0.05

Cell lengths 5.1438, 3.6698, 10.2766 Å; angles 90.00, 90.00, 90.00 degrees
Last column: nearest neighbours and their distance in Å.
Space group Pmma (No. 51)
Asymmetric unit:
Mg1 0.2500 0.0000 0.1230  6 In 3.12-3.16, 2 Tl 3.17
Mg2 0.2500 0.0000 0.6291  2 In 3.14, 6 Tl 3.16-3.20
Tl1 0.2500 0.5000 0.3741  8 Mg 3.16-3.20
In1 0.2500 0.5000 0.8775  8 Mg 3.12-3.16